No. 1
! SrPmV2O8 (PBE with a Hubbard U, relaxed); values from VASP
&SYSTEM
  ibrav = 0, nat = 12, ntyp = 4
/
ATOMIC_SPECIES
Sr 87.62 Sr.upf
Pm 145.00 Pm.upf
V 50.94 V.upf
O 16.00 O.upf
CELL_PARAMETERS angstrom
5.806 0.000 0.000
-2.903 5.029 0.000
0.000 0.000 7.362
ATOMIC_POSITIONS crystal
Sr 0.000 0.000 0.000
Pm 0.000 0.000 0.500
V 0.333 0.667 0.795
V 0.667 0.333 0.205
O 0.167 0.335 0.720
O 0.167 0.833 0.720
O 0.333 0.667 0.024
O 0.335 0.167 0.280
O 0.665 0.833 0.720
O 0.667 0.333 0.976
O 0.833 0.167 0.280
O 0.833 0.665 0.280
! **Density**: 3573 kg/m3
! **Uncorrected energy**: -88.7 eV/f.u.

---

No. 2
! SrPmVO5 (PBE with a Hubbard U, relaxed); values from VASP
&SYSTEM
  ibrav = 0, nat = 16, ntyp = 4
/
ATOMIC_SPECIES
Sr 87.62 Sr.upf
Pm 145.00 Pm.upf
V 50.94 V.upf
O 16.00 O.upf
CELL_PARAMETERS angstrom
3.680 -4.924 0.000
3.680 4.924 0.000
-2.901 0.000 7.431
ATOMIC_POSITIONS crystal
Sr 0.167 0.833 0.750
Sr 0.833 0.167 0.250
Pm 0.500 0.500 0.000
Pm 0.500 0.500 0.500
V 0.178 0.822 0.250
V 0.822 0.178 0.750
O 0.091 0.229 0.907
O 0.165 0.599 0.358
O 0.229 0.091 0.407
O 0.400 0.600 0.750
O 0.401 0.835 0.142
O 0.599 0.165 0.858
O 0.600 0.400 0.250
O 0.771 0.909 0.593
O 0.835 0.401 0.642
O 0.909 0.771 0.093
! **Density**: 4483 kg/m3
! **Uncorrected energy**: -60.3 eV/f.u.

---

No. 3
! SrPmW2O8 (PBE with a Hubbard U, relaxed); values from VASP
&SYSTEM
  ibrav = 0, nat = 12, ntyp = 4
/
ATOMIC_SPECIES
Sr 87.62 Sr.upf
Pm 145.00 Pm.upf
W 183.84 W.upf
O 16.00 O.upf
CELL_PARAMETERS angstrom
-2.715 2.715 5.885
2.715 -2.715 5.885
2.715 2.715 -5.885
ATOMIC_POSITIONS crystal
Sr 0.000 0.000 0.000
Pm 0.250 0.750 0.500
W 0.500 0.500 0.000
W 0.750 0.250 0.500
O 0.002 0.075 0.422
O 0.265 0.654 0.088
O 0.346 0.434 0.611
O 0.420 0.998 0.073
O 0.566 0.177 0.912
O 0.653 0.580 0.578
O 0.823 0.735 0.389
O 0.925 0.347 0.927
! **Density**: 6968 kg/m3
! **Uncorrected energy**: -91.0 eV/f.u.

---

No. 4
! SrPm2WO8 (PBE with a Hubbard U, relaxed); values from VASP
&SYSTEM
  ibrav = 0, nat = 12, ntyp = 4
/
ATOMIC_SPECIES
Sr 87.62 Sr.upf
Pm 145.00 Pm.upf
W 183.84 W.upf
O 16.00 O.upf
CELL_PARAMETERS angstrom
4.294 0.000 0.000
-0.018 5.441 0.000
-2.123 -0.081 6.748
ATOMIC_POSITIONS crystal
Sr 0.000 0.000 0.000
Pm 0.373 0.490 0.704
Pm 0.627 0.510 0.296
W 0.000 0.000 0.500
O 0.173 0.502 0.999
O 0.184 0.248 0.370
O 0.194 0.719 0.402
O 0.352 0.035 0.753
O 0.648 0.965 0.247
O 0.806 0.281 0.598
O 0.816 0.752 0.630
O 0.827 0.498 0.001
! **Density**: 7261 kg/m3
! **Uncorrected energy**: -88.9 eV/f.u.

---

Repeat the third record exactly.
! SrPmW2O8 (PBE with a Hubbard U, relaxed); values from VASP
&SYSTEM
  ibrav = 0, nat = 12, ntyp = 4
/
ATOMIC_SPECIES
Sr 87.62 Sr.upf
Pm 145.00 Pm.upf
W 183.84 W.upf
O 16.00 O.upf
CELL_PARAMETERS angstrom
-2.715 2.715 5.885
2.715 -2.715 5.885
2.715 2.715 -5.885
ATOMIC_POSITIONS crystal
Sr 0.000 0.000 0.000
Pm 0.250 0.750 0.500
W 0.500 0.500 0.000
W 0.750 0.250 0.500
O 0.002 0.075 0.422
O 0.265 0.654 0.088
O 0.346 0.434 0.611
O 0.420 0.998 0.073
O 0.566 0.177 0.912
O 0.653 0.580 0.578
O 0.823 0.735 0.389
O 0.925 0.347 0.927
! **Density**: 6968 kg/m3
! **Uncorrected energy**: -91.0 eV/f.u.